Entry 1:
DFT (PBE) results for an optimized crystal structure of Pm2Mg3Hg4.

Lattice parameters (Å, degrees): 6.4511 8.1150 9.0196 90.00 110.95 90.00
Last column: nearest neighbours and their distance in Å.
Sites, in units of the cell vectors:
Hg: 0.8061 0.2500 0.1121  3 Mg 2.76-2.89
Pm: 0.3948 0.0894 0.7895  7 Hg 3.24-3.45, 2 Mg 3.50
Mg: 0.0000 0.0000 0.0000  6 Hg 2.76-2.93
Mg: 0.4773 0.2500 0.4547  5 Hg 2.89-2.97, 2 Mg 3.23
Hg: 0.3271 0.4637 0.6542  5 Mg 2.90-2.97, 1 Pm 3.24
Mg: 0.5227 0.7500 0.5453  5 Hg 2.89-2.97, 2 Mg 3.23
Hg: 0.6729 0.5363 0.3458  5 Mg 2.90-2.97, 1 Pm 3.24
Pm: 0.8948 0.4106 0.7895  7 Hg 3.24-3.45, 2 Mg 3.50
Mg: 0.9773 0.2500 0.4547  5 Hg 2.89-2.97, 2 Mg 3.23
Hg: 0.8271 0.0363 0.6542  5 Mg 2.90-2.97, 1 Pm 3.24
Hg: 0.3061 0.2500 0.1121  3 Mg 2.76-2.89
Mg: 0.0227 0.7500 0.5453  5 Hg 2.89-2.97, 2 Mg 3.23
Pm: 0.6052 0.9106 0.2105  7 Hg 3.24-3.45, 2 Mg 3.50
Hg: 0.1939 0.7500 0.8879  3 Mg 2.76-2.89
Mg: 0.5000 0.5000 0.0000  6 Hg 2.76-2.93
Hg: 0.6939 0.7500 0.8879  3 Mg 2.76-2.89
Pm: 0.1052 0.5894 0.2105  7 Hg 3.24-3.45, 2 Mg 3.50
Hg: 0.1729 0.9637 0.3458  5 Mg 2.90-2.97, 1 Pm 3.24

Results
The calculation puts the formation energy at -32.55 kJ per mole of atoms. The calculation puts the energy above the lowest structure with this stoichiometry at 37 meV/atom. The space group is Cmce (64). The volume comes out at 441 Å³/cell.

Entry 2:
DFT (PBE) results for an optimized crystal structure of ZrRuSe2.

Lattice parameters (Å, degrees): 5.2365 5.2365 4.6209 82.15 82.15 38.17
Last column: nearest neighbours and their distance in Å.
Sites, in units of the cell vectors:
Se: 0.2370 0.2370 0.3570  2 Ru 2.45, 1 Zr 2.68
Ru: 0.7764 0.7764 0.7153  3 Se 2.45-2.54
Zr: 0.4939 0.4939 0.4767  7 Se 2.68-2.97, 2 Ru 2.85
Se: 0.9927 0.9927 0.9510  1 Ru 2.54, 2 Zr 2.78

Results
The calculation puts the energy above the lowest structure with this stoichiometry at 155 meV/atom. The space group is Cm (8). The calculation puts the raw formation energy at -546.8 meV/atom. The volume comes out at 77 Å³/cell.

Entry 3:
DFT (PBE) results for an optimized crystal structure of RbY2ScIn.

Lattice parameters (Å, degrees): 5.4734 5.1420 5.4734 90.00 90.00 90.00
Last column: nearest neighbours and their distance in Å.
Sites, in units of the cell vectors:
Rb: 0.0000 0.0000 0.0000  2 Sc 2.57, 4 Y 2.74
Y: 0.0000 0.0000 0.5000  2 Rb 2.74
Y: 0.5000 0.0000 0.0000  2 Rb 2.74
In: 0.5000 0.5000 0.5000  8 Y 3.75, 4 Sc 3.87
Sc: 0.0000 0.5000 0.0000  2 Rb 2.57

Results
The calculation puts the formation energy at 119.78 kJ per mole of atoms. The space group is P4/mmm (123). The volume comes out at 154 Å³/cell.

Entry 4:
DFT (PBE) results for an optimized crystal structure of EuTiAl2.

Lattice parameters (Å, degrees): 3.0675 3.0675 8.5755 90.00 90.00 90.00
Last column: nearest neighbours and their distance in Å.
Sites, in units of the cell vectors:
Al: 0.0000 0.0000 0.2129  4 Ti 2.83, 4 Al 3.07
Al: 0.0000 0.0000 0.7871  4 Ti 2.83, 4 Al 3.07
Eu: 0.5000 0.5000 0.5000  4 Eu 3.07, 8 Al 3.28
Ti: 0.5000 0.5000 0.0000  8 Al 2.83, 4 Ti 3.07

Results
The calculation puts the formation energy at -20.24 kJ per mole of atoms. The space group is P4/mmm (123). The volume comes out at 81 Å³/cell.

Entry 5:
DFT (PBE) results for an optimized crystal structure of NaTlH.

Lattice parameters (Å, degrees): 3.3326 3.3326 6.2466 105.47 105.47 90.00
Last column: nearest neighbours and their distance in Å.
Sites, in units of the cell vectors:
Tl: 0.6456 0.6456 0.2913  1 H 2.21
Na: 0.3680 0.3680 0.7360  4 H 2.38
H: 0.8363 0.8363 0.6727  1 Tl 2.21, 4 Na 2.38

Results
The calculation puts the energy above the lowest structure with this stoichiometry at 23 meV/atom. The space group is I4mm (107). The volume comes out at 64 Å³/cell.

Entry 6:
DFT (PBE) results for an optimized crystal structure of LaHf.

Lattice parameters (Å, degrees): 12.0362 5.4256 6.9868 90.00 90.00 90.00
Last column: nearest neighbours and their distance in Å.
Sites, in units of the cell vectors:
Hf: 0.3570 0.7500 0.2748  3 Hf 3.11-3.19, 4 La 3.34-3.43
La: 0.0935 0.7500 0.4986  6 La 3.32-3.66, 6 Hf 3.38-3.60
Hf: 0.4254 0.2500 0.4851  5 Hf 3.11-3.26, 3 La 3.40-3.46
La: 0.1727 0.2500 0.2497  4 La 3.32-3.66, 8 Hf 3.34-3.69
Hf: 0.9254 0.2500 0.0149  5 Hf 3.11-3.26, 3 La 3.40-3.46
Hf: 0.8570 0.7500 0.2252  3 Hf 3.11-3.19, 4 La 3.34-3.43
La: 0.5935 0.7500 0.0014  6 La 3.32-3.66, 6 Hf 3.38-3.60
Hf: 0.6430 0.2500 0.7252  3 Hf 3.11-3.19, 4 La 3.34-3.43
Hf: 0.5746 0.7500 0.5149  5 Hf 3.11-3.26, 3 La 3.40-3.46
Hf: 0.0746 0.7500 0.9851  5 Hf 3.11-3.26, 3 La 3.40-3.46
Hf: 0.1430 0.2500 0.7748  3 Hf 3.11-3.19, 4 La 3.34-3.43
La: 0.6727 0.2500 0.2503  4 La 3.32-3.66, 8 Hf 3.34-3.69
La: 0.4065 0.2500 0.9986  6 La 3.32-3.66, 6 Hf 3.38-3.60
La: 0.9065 0.2500 0.5014  6 La 3.32-3.66, 6 Hf 3.38-3.60
La: 0.3273 0.7500 0.7497  4 La 3.32-3.66, 8 Hf 3.34-3.69
La: 0.8273 0.7500 0.7503  4 La 3.32-3.66, 8 Hf 3.34-3.69

Results
The calculation puts the formation energy at 25.58 kJ per mole of atoms. The calculation puts the energy above the lowest structure with this stoichiometry at 69 meV/atom. The space group is Pnma (62). The volume comes out at 456 Å³/cell.

Entry 7:
DFT (PBE) results for an optimized crystal structure of SmYPdPb.

Lattice parameters (Å, degrees): 5.2678 5.2678 5.2678 60.00 60.00 60.00
Last column: nearest neighbours and their distance in Å.
Sites, in units of the cell vectors:
Pd: 0.7500 0.7500 0.7500  4 Sm 3.23, 4 Y 3.23
Sm: 0.5000 0.5000 0.5000  4 Pd 3.23, 4 Pb 3.23
Y: 0.0000 0.0000 0.0000  4 Pb 3.23, 4 Pd 3.23
Pb: 0.2500 0.2500 0.2500  4 Sm 3.23, 4 Y 3.23

Results
The calculation puts the formation energy at -59.35 kJ per mole of atoms. The space group is F-43m (216). The volume comes out at 103 Å³/cell.

Entry 8:
DFT (PBE) results for an optimized crystal structure of K2HgB.

Lattice parameters (Å, degrees): 5.6608 5.6608 5.6608 60.00 60.00 60.00
Last column: nearest neighbours and their distance in Å.
Sites, in units of the cell vectors:
K: 0.2500 0.2500 0.2500  4 Hg 3.47, 4 B 3.47
K: 0.7500 0.7500 0.7500  4 Hg 3.47, 4 B 3.47
Hg: 0.5000 0.5000 0.5000  8 K 3.47
B: 0.0000 0.0000 0.0000  8 K 3.47

Results
The calculation puts the formation energy at 82.95 kJ per mole of atoms. The calculation puts the energy above the lowest structure with this stoichiometry at 477 meV/atom. The space group is Fm-3m (225). The volume comes out at 128 Å³/cell.

Entry 9:
DFT (PBE) results for an optimized crystal structure of CePrHo2Hg4.

Lattice parameters (Å, degrees): 5.3511 5.3511 9.2727 73.23 73.23 60.00
Last column: nearest neighbours and their distance in Å.
Sites, in units of the cell vectors:
Hg: 0.1256 0.1256 0.6233  4 Ho 3.24-3.28, 3 Ce 3.27, 1 Pr 3.29
Hg: 0.8744 0.8744 0.3767  4 Ho 3.24-3.28, 3 Ce 3.27, 1 Pr 3.29
Ce: 0.5000 0.5000 0.5000  8 Hg 3.26-3.27
Pr: 0.0000 0.0000 0.0000  8 Hg 3.28-3.29
Ho: 0.7508 0.7508 0.7476  8 Hg 3.24-3.32
Hg: 0.3758 0.3758 0.8727  1 Ce 3.26, 4 Ho 3.28-3.32, 3 Pr 3.28
Hg: 0.6242 0.6242 0.1273  1 Ce 3.26, 4 Ho 3.28-3.32, 3 Pr 3.28
Ho: 0.2492 0.2492 0.2524  8 Hg 3.24-3.32

Results
The calculation puts the formation energy at -40.05 kJ per mole of atoms. The space group is R-3m (166). The volume comes out at 217 Å³/cell.

Entry 10:
DFT (PBE) results for an optimized crystal structure of TiBe3F.

Lattice parameters (Å, degrees): 4.7897 4.7897 4.7897 90.00 90.00 90.00
Last column: nearest neighbours and their distance in Å.
Sites, in units of the cell vectors:
Be: 0.5000 0.0000 0.0000  2 Ti 2.39
Be: 0.0000 0.5000 0.0000  2 Ti 2.39
Ti: 0.0000 0.0000 0.0000  6 Be 2.39
Be: 0.0000 0.0000 0.5000  2 Ti 2.39
F: 0.5000 0.5000 0.5000  12 Be 3.39

Results
The calculation puts the energy above the lowest structure with this stoichiometry at 1552 meV/atom. The space group is Pm-3m (221). The calculation puts the raw formation energy at 1570.8 meV/atom. The volume comes out at 110 Å³/cell.

Entry 11:
DFT (PBE) results for an optimized crystal structure of AcPrNdSm2.

Lattice parameters (Å, degrees): 6.0157 6.5354 9.9486 71.14 90.00 90.00
Last column: nearest neighbours and their distance in Å.
Sites, in units of the cell vectors:
Nd: 0.7500 0.1620 0.0017  2 Nd 3.68, 5 Sm 3.72-3.87, 4 Ac 3.72-3.76, 1 Pr 3.81
Sm: 0.2500 0.0357 0.5967  5 Sm 3.68-3.69, 4 Pr 3.69-3.79, 1 Nd 3.78, 2 Ac 3.80
Pr: 0.2500 0.6387 0.4025  6 Sm 3.69-3.82, 2 Pr 3.72, 3 Ac 3.75-3.76, 1 Nd 3.81
Sm: 0.7500 0.7760 0.7943  3 Sm 3.68-3.69, 2 Pr 3.69-3.82, 4 Nd 3.72-3.87, 3 Ac 3.73-3.80
Nd: 0.2500 0.8380 0.9983  2 Nd 3.68, 5 Sm 3.72-3.87, 4 Ac 3.72-3.76, 1 Pr 3.81
Ac: 0.2500 0.4342 0.8021  4 Nd 3.72-3.76, 5 Sm 3.73-3.80, 3 Pr 3.75-3.76
Ac: 0.7500 0.5658 0.1979  4 Nd 3.72-3.76, 5 Sm 3.73-3.80, 3 Pr 3.75-3.76
Sm: 0.2500 0.2240 0.2057  3 Sm 3.68-3.69, 2 Pr 3.69-3.82, 4 Nd 3.72-3.87, 3 Ac 3.73-3.80
Pr: 0.7500 0.3613 0.5975  6 Sm 3.69-3.82, 2 Pr 3.72, 3 Ac 3.75-3.76, 1 Nd 3.81
Sm: 0.7500 0.9643 0.4033  5 Sm 3.68-3.69, 4 Pr 3.69-3.79, 1 Nd 3.78, 2 Ac 3.80

Results
The calculation puts the formation energy at 3.94 kJ per mole of atoms. The space group is P2_1/m (11). The volume comes out at 370 Å³/cell.

Entry 12:
DFT (PBE) results for an optimized crystal structure of SrZr2Ru.

Lattice parameters (Å, degrees): 3.4043 4.1241 7.4339 90.00 90.00 90.00
Last column: nearest neighbours and their distance in Å.
Sites, in units of the cell vectors:
Zr: 0.0000 0.0000 0.0744  1 Ru 2.48
Zr: 0.5000 0.5000 0.2860  4 Ru 2.82, 4 Zr 3.10
Ru: 0.0000 0.0000 0.4081  1 Zr 2.48
Sr: 0.5000 0.5000 0.7315  5 Zr 3.31-3.69, 2 Sr 3.40, 4 Ru 3.60

Results
The calculation puts the formation energy at 12.69 kJ per mole of atoms. The calculation puts the energy above the lowest structure with this stoichiometry at 76 meV/atom. The space group is Pmm2 (25). The volume comes out at 104 Å³/cell.

> Among the records above, which one has the highest volume?

LaHf

> Which of these has the lowest volume?

NaTlH

> volume of number 9 (CePrHo2Hg4)?

217 Å³/cell

> Which value of volume does entry 7 give?

103 Å³/cell